(1)
5
Lattice="4.1228 0.0000 0.0000 0.0000 4.1228 0.0000 0.0000 0.0000 4.1228" Properties=species:S:1:pos:R:3 comment="CrCo3Rh | Alexandria via LeMat-Bulk | PBE-GGA | optimized geometry" magnetic_moment_mub_per_cell=2.8 delta_e_f_kj_per_mol_atoms=113 pbc="T T T"
Cr 0.0000 0.0000 0.0000
Co 0.0000 0.0000 2.0614
Co 0.0000 2.0614 0.0000
Co 2.0614 0.0000 0.0000
Rh 2.0614 2.0614 2.0614

***

(2)
12
Lattice="-1.8618 3.6554 5.6837 1.8618 -3.6554 5.6837 1.8618 3.6554 -5.6837" Properties=species:S:1:pos:R:3 comment="Cr6CoRh5 | Alexandria via LeMat-Bulk | PBE-GGA | optimized geometry" magnetic_moment_mub_per_cell=1.9 delta_e_f_kj_per_mol_atoms=-3 pbc="T T T"
Cr 1.8618 1.8004 -1.8342
Cr 0.0000 1.7911 0.0000
Cr 1.8618 1.8004 1.8342
Cr 0.0000 1.8549 3.8495
Cr 0.0000 5.5196 0.0000
Cr 0.0000 1.8549 7.5179
Co 1.8618 0.0000 0.0000
Rh 0.0000 0.0000 1.8391
Rh 1.8618 0.0000 3.7667
Rh 0.0000 0.0000 5.6837
Rh 0.0000 3.6554 1.9170
Rh 0.0000 0.0000 9.5283

***

(3)
4
Lattice="2.5948 0.0000 0.0000 0.0000 3.8895 0.0000 -1.2902 0.0000 4.7963" Properties=species:S:1:pos:R:3 comment="Cr2CoRh | Alexandria via LeMat-Bulk | PBE-GGA | optimized geometry" magnetic_moment_mub_per_cell=0.0 delta_e_f_kj_per_mol_atoms=9 pbc="T T T"
Cr 0.0000 0.0000 0.0000
Cr -0.0111 1.9448 1.2649
Co 0.0015 1.9448 3.8550
Rh 1.2905 0.0000 2.3448

***

(4)
8
Lattice="2.8490 0.0000 0.0000 0.0000 4.2280 0.0000 0.0000 0.0000 8.2032" Properties=species:S:1:pos:R:3 comment="Cr2CoRh | Alexandria via LeMat-Bulk | PBE-GGA | optimized geometry" magnetic_moment_mub_per_cell=4.3 delta_e_f_kj_per_mol_atoms=14 pbc="T T T"
Cr 0.0000 0.0000 0.0000
Cr 0.0000 2.1140 2.3631
Cr 1.4245 0.0000 6.4647
Cr 1.4245 2.1140 4.1016
Co 0.0000 0.0000 4.4280
Co 1.4245 2.1140 0.3263
Rh 0.0000 2.1140 6.2509
Rh 1.4245 0.0000 2.1492

***

(5)
5
Lattice="4.1498 0.0000 0.0000 0.0000 4.1498 0.0000 0.0000 0.0000 4.1498" Properties=species:S:1:pos:R:3 comment="Cr3CoRh | Alexandria via LeMat-Bulk | PBE-GGA | optimized geometry" magnetic_moment_mub_per_cell=0.4 delta_e_f_kj_per_mol_atoms=111 pbc="T T T"
Cr 0.0000 0.0000 2.0749
Cr 0.0000 2.0749 0.0000
Cr 2.0749 0.0000 0.0000
Co 0.0000 0.0000 0.0000
Rh 2.0749 2.0749 2.0749

***

(6)
12
Lattice="2.5942 0.0000 0.0000 -1.2971 2.2467 0.0000 0.0000 0.0000 25.1882" Properties=species:S:1:pos:R:3 comment="Cr2CoRh | Alexandria via LeMat-Bulk | PBE-GGA | optimized geometry" magnetic_moment_mub_per_cell=2.0 delta_e_f_kj_per_mol_atoms=16 pbc="T T T"
Cr 0.0000 0.0000 0.0000
Cr 0.0000 0.0000 6.2057
Cr 0.0000 1.4978 16.7921
Cr 0.0000 1.4978 22.9978
Cr 1.2971 0.7489 8.3960
Cr 1.2971 0.7489 14.6018
Co 0.0000 0.0000 12.6865
Co 0.0000 1.4978 4.2904
Co 1.2971 0.7489 21.0825
Rh 0.0000 0.0000 18.8467
Rh 0.0000 1.4978 10.4507
Rh 1.2971 0.7489 2.0546

***

(7)
12
Lattice="4.3577 0.0000 0.0000 0.0000 5.0053 0.0000 -0.0797 0.0000 6.1268" Properties=species:S:1:pos:R:3 comment="Cr5Co6Rh | Alexandria via LeMat-Bulk | PBE-GGA | optimized geometry" magnetic_moment_mub_per_cell=0.4 delta_e_f_kj_per_mol_atoms=5 pbc="T T T"
Cr 0.0000 0.0000 0.0000
Cr 1.4250 0.0000 2.0629
Cr 1.4303 2.5026 2.0581
Cr 2.8476 2.5026 4.0688
Cr 2.8530 0.0000 4.0639
Co 0.7013 1.2452 4.0564
Co 0.7013 3.7601 4.0564
Co 2.1788 1.2268 0.0000
Co 2.1788 3.7785 0.0000
Co 3.5767 1.2452 2.0704
Co 3.5767 3.7601 2.0704
Rh 0.0000 2.5026 0.0000

***

(8)
16
Lattice="5.8470 0.0000 0.0000 0.0000 5.8470 0.0000 0.0000 0.0000 5.8470" Properties=species:S:1:pos:R:3 comment="Cr2CoRh | Alexandria via LeMat-Bulk | PBE-GGA | optimized geometry" magnetic_moment_mub_per_cell=10.1 delta_e_f_kj_per_mol_atoms=18 pbc="T T T"
Cr 0.0000 0.0000 0.0000
Cr 0.0000 2.9235 2.9235
Cr 1.4617 1.4617 1.4617
Cr 1.4617 4.3852 4.3852
Cr 2.9235 0.0000 2.9235
Cr 2.9235 2.9235 0.0000
Cr 4.3852 1.4617 4.3852
Cr 4.3852 4.3852 1.4617
Co 0.0000 0.0000 2.9235
Co 0.0000 2.9235 0.0000
Co 2.9235 0.0000 0.0000
Co 2.9235 2.9235 2.9235
Rh 1.4617 1.4617 4.3852
Rh 1.4617 4.3852 1.4617
Rh 4.3852 1.4617 1.4617
Rh 4.3852 4.3852 4.3852

***

(9)
10
Lattice="6.7841 0.0000 0.0000 0.0000 6.7841 0.0000 0.0000 0.0000 2.5834" Properties=species:S:1:pos:R:3 comment="Cr2Co2Rh | Alexandria via LeMat-Bulk | PBE-GGA | optimized geometry" magnetic_moment_mub_per_cell=1.3 delta_e_f_kj_per_mol_atoms=19 pbc="T T T"
Cr 0.7937 2.5983 0.0000
Cr 2.5983 5.9904 0.0000
Cr 4.1857 0.7937 0.0000
Cr 5.9904 4.1857 0.0000
Co 1.1944 4.5864 1.2917
Co 2.1976 1.1944 1.2917
Co 4.5864 5.5896 1.2917
Co 5.5896 2.1976 1.2917
Rh 0.0000 0.0000 0.0000
Rh 3.3920 3.3920 0.0000

***

(10)
4
Lattice="4.3694 0.0000 0.0000 0.0000 2.6472 0.0000 -1.3602 0.0000 4.2442" Properties=species:S:1:pos:R:3 comment="Cr2CoRh | Alexandria via LeMat-Bulk | PBE-GGA | optimized geometry" magnetic_moment_mub_per_cell=0.4 delta_e_f_kj_per_mol_atoms=9 pbc="T T T"
Cr 0.0000 0.0000 0.0000
Cr 2.1847 1.3236 0.0000
Co -0.6801 1.3236 2.1221
Rh 1.5046 0.0000 2.1221

***

(11)
12
Lattice="2.5899 0.0000 0.0000 -1.2950 2.2430 0.0000 0.0000 0.0000 24.9759" Properties=species:S:1:pos:R:3 comment="Cr2CoRh | Alexandria via LeMat-Bulk | PBE-GGA | optimized geometry" magnetic_moment_mub_per_cell=0.0 delta_e_f_kj_per_mol_atoms=14 pbc="T T T"
Cr 0.0000 0.0000 6.1632
Cr 0.0000 0.0000 18.8127
Cr 0.0000 1.4953 10.4874
Cr 0.0000 1.4953 22.8138
Cr 1.2950 0.7477 2.1621
Cr 1.2950 0.7477 14.4885
Co 0.0000 0.0000 12.4879
Co 0.0000 1.4953 4.1627
Co 1.2950 0.7477 20.8132
Rh 0.0000 0.0000 0.0000
Rh 0.0000 1.4953 16.6506
Rh 1.2950 0.7477 8.3253

***

(12)
6
Lattice="0.0000 3.3066 3.3066 3.3066 0.0000 3.3066 3.3066 3.3066 0.0000" Properties=species:S:1:pos:R:3 comment="Cr4CoRh | Alexandria via LeMat-Bulk | PBE-GGA | optimized geometry" magnetic_moment_mub_per_cell=0.4 delta_e_f_kj_per_mol_atoms=11 pbc="T T T"
Cr 2.4923 2.4923 2.4923
Cr 4.1209 4.1209 2.4923
Cr 4.1209 2.4923 4.1209
Cr 2.4923 4.1209 4.1209
Co 4.9599 4.9599 4.9599
Rh 0.0000 0.0000 0.0000

***

What DOS at the Fermi energy values result from the calculations? In sequence: 9.07, 13.80, 5.53, 10.58, 8.76, 16.66, 13.18, 31.49, 13.98, 4.61, 17.57, 6.23 states/eV per cell.
What DFT total energy values result from the calculations? In sequence: -6.487, -8.503, -8.331, -8.276, -7.516, -8.260, -8.123, -8.239, -7.969, -8.335, -8.280, -8.708 eV/atom.